Record 1
! KTmHgPb | Alexandria via LeMat-Bulk | GGA-PBE | optimized geometry; values from VASP
&SYSTEM
  ibrav = 0, nat = 4, ntyp = 4
/
ATOMIC_SPECIES
K 39.10 K.upf
Tm 168.93 Tm.upf
Hg 200.59 Hg.upf
Pb 207.20 Pb.upf
CELL_PARAMETERS angstrom
0.0000 3.9037 3.9037
3.9037 0.0000 3.9037
3.9037 3.9037 0.0000
ATOMIC_POSITIONS crystal
K 0.0000 0.0000 0.0000
Tm 0.5000 0.5000 0.5000
Hg 0.7500 0.7500 0.7500
Pb 0.2500 0.2500 0.2500
! * size of the total moment: 0.00 μB/f.u.
! * DOS(E_F): 0.39 states/eV/cell
! * uncorrected energy: -10.36 eV per cell

***

Record 2
! Tl2IF | Alexandria via LeMat-Bulk | GGA-PBE | optimized geometry; values from VASP
&SYSTEM
  ibrav = 0, nat = 4, ntyp = 3
/
ATOMIC_SPECIES
Tl 204.38 Tl.upf
I 126.90 I.upf
F 19.00 F.upf
CELL_PARAMETERS angstrom
2.2327 1.2891 7.3962
-2.2327 1.2891 7.3962
0.0000 -2.5781 7.3962
ATOMIC_POSITIONS crystal
Tl 0.2280 0.2280 0.2280
Tl 0.7720 0.7720 0.7720
I 0.0000 0.0000 0.0000
F 0.5000 0.5000 0.5000
! * uncorrected formation energy: -1.1460 eV per atom
! * size of the total moment: 0.00 μB/f.u.
! * distance to the lowest polymorph of the same formula: 0.060 eV/atom
! * DOS(E_F): 0.00 states/eV/cell
! * uncorrected energy: -12.74 eV per cell

***

Record 3
! AcMgCuPd2 | Alexandria via LeMat-Bulk | GGA-PBE | optimized geometry; values from VASP
&SYSTEM
  ibrav = 0, nat = 10, ntyp = 4
/
ATOMIC_SPECIES
Ac 227.00 Ac.upf
Mg 24.30 Mg.upf
Cu 63.55 Cu.upf
Pd 106.42 Pd.upf
CELL_PARAMETERS angstrom
2.8725 -6.7529 0.0000
2.8725 6.7529 0.0000
0.0000 0.0000 5.5886
ATOMIC_POSITIONS crystal
Ac 0.2500 0.7500 0.7607
Ac 0.7500 0.2500 0.2393
Mg 0.2500 0.2500 0.5000
Mg 0.7500 0.7500 0.5000
Cu 0.0000 0.0000 0.0000
Cu 0.5000 0.5000 0.0000
Pd 0.1471 0.8529 0.2742
Pd 0.3529 0.6471 0.2742
Pd 0.6471 0.3529 0.7258
Pd 0.8529 0.1471 0.7258
! * size of the total moment: 0.00 μB/f.u.
! * DOS(E_F): 4.09 states/eV/cell
! * uncorrected energy: -44.92 eV per cell

***

Record 4
! K3BaAu | Alexandria via LeMat-Bulk | GGA-PBE | optimized geometry; values from VASP
&SYSTEM
  ibrav = 0, nat = 5, ntyp = 3
/
ATOMIC_SPECIES
K 39.10 K.upf
Ba 137.33 Ba.upf
Au 196.97 Au.upf
CELL_PARAMETERS angstrom
6.5860 0.0000 0.0000
0.0000 6.5860 0.0000
0.0000 0.0000 6.5860
ATOMIC_POSITIONS crystal
K 0.0000 0.0000 0.5000
K 0.0000 0.5000 0.0000
K 0.5000 0.0000 0.0000
Ba 0.5000 0.5000 0.5000
Au 0.0000 0.0000 0.0000
! * size of the total moment: 1.04 μB/f.u.
! * distance to the lowest polymorph of the same formula: 0.000 eV/atom
! * DOS(E_F): 7.80 states/eV/cell
! * uncorrected energy: -8.43 eV per cell

***

Record 5
! KY2Tc | Alexandria via LeMat-Bulk | GGA-PBE | optimized geometry; values from VASP
&SYSTEM
  ibrav = 0, nat = 4, ntyp = 3
/
ATOMIC_SPECIES
K 39.10 K.upf
Y 88.91 Y.upf
Tc 98.00 Tc.upf
CELL_PARAMETERS angstrom
5.7054 0.0000 0.0000
0.0000 3.3964 0.0000
-2.7813 0.0000 5.5909
ATOMIC_POSITIONS crystal
K 0.0000 0.0000 0.0000
Y 0.0000 0.0000 0.5000
Y 0.5000 0.5000 0.0000
Tc 0.5000 0.5000 0.5000
! * size of the total moment: 1.32 μB/f.u.
! * distance to the lowest polymorph of the same formula: 0.812 eV/atom
! * DOS(E_F): 4.84 states/eV/cell
! * uncorrected energy: -20.65 eV per cell

***

Record 6
! Sb2PtSe | Alexandria via LeMat-Bulk | GGA-PBE | optimized geometry; values from VASP
&SYSTEM
  ibrav = 0, nat = 8, ntyp = 3
/
ATOMIC_SPECIES
Sb 121.76 Sb.upf
Pt 195.08 Pt.upf
Se 78.96 Se.upf
CELL_PARAMETERS angstrom
-3.1222 3.1222 6.2980
3.1222 -3.1222 6.2980
3.1222 3.1222 -6.2980
ATOMIC_POSITIONS crystal
Sb 0.0827 0.6250 0.9577
Sb 0.3750 0.3327 0.4577
Sb 0.6673 0.1250 0.0423
Sb 0.8750 0.9173 0.5423
Pt 0.0000 0.0000 0.0000
Pt 0.7500 0.2500 0.5000
Se 0.2500 0.7500 0.5000
Se 0.5000 0.5000 0.0000
! * uncorrected formation energy: -0.1086 eV per atom
! * size of the total moment: 0.00 μB/f.u.
! * DOS(E_F): 1.13 states/eV/cell
! * uncorrected energy: -36.41 eV per cell

***

Among the records above, which one has the highest size of the total moment? KY2Tc

***

Which of these has the lowest uncorrected energy? AcMgCuPd2

***

The lowest DOS(E_F) belongs to which entry? Tl2IF